[1]
# Rb2UAg2Se6

A relaxed structure of Rb2UAg2Se6 (PBE-GGA, the Alexandria database).

Cell and atoms, written as POSCAR:
```
Rb2UAg2Se6
1.0
7.776 0.000 0.000
-3.888 6.735 0.000
0.000 0.000 7.287
Se Rb U Ag
6 2 1 2
Cartesian
-1.945 6.047 5.560
2.321 5.395 5.560
5.833 0.687 1.727
-0.377 2.027 5.560
4.265 4.708 1.727
1.567 1.340 1.727
3.888 2.245 5.002
0.000 4.490 2.285
0.000 0.000 0.000
3.888 2.245 1.348
0.000 4.490 5.939
```

Summary:
energy relative to the elements, uncorrected = -0.6037 eV/atom
calculated volume = 34.7 A^3/atom

=====

[2]
# LaTb2Pr6Er3

A relaxed structure of LaTb2Pr6Er3 (PBE-GGA, the Alexandria database).

Cell and atoms, written as POSCAR:
```
LaTb2Pr6Er3
1.0
6.328 -0.002 0.023
-3.164 5.480 0.023
-1.098 -1.901 11.765
Pr Tb Er La
6 2 3 1
Cartesian
-0.038 3.595 8.817
2.097 3.631 3.021
-0.031 -0.054 8.792
2.105 -0.018 2.995
-1.067 1.814 2.995
3.133 1.763 8.817
0.001 3.652 0.023
3.162 1.826 0.023
-2.129 3.615 5.906
1.033 1.789 5.906
4.195 -0.037 5.906
0.000 0.000 0.000
```

Summary:
DFT formation energy = 0.017 eV per atom
calculated volume = 34.0 A^3/atom

=====

[3]
# AcNd4Pt4

A relaxed structure of AcNd4Pt4 (PBE-GGA, the Alexandria database).

Cell and atoms, written as POSCAR:
```
AcNd4Pt4
1.0
-5.424 -0.043 2.352
-3.045 -5.572 -7.121
2.268 -7.745 5.089
Nd Pt Ac
8 8 2
Cartesian
-5.405 -9.752 2.215
-1.598 -7.626 -3.818
-3.896 -10.286 -1.734
-6.216 -3.649 0.456
0.818 -5.690 1.787
-4.547 -4.625 -3.143
-2.308 -3.073 2.056
-1.650 -8.734 3.462
-1.941 -5.845 2.851
-2.747 -9.609 0.917
0.350 -2.930 0.758
-4.314 -8.622 4.751
-7.307 -4.779 -2.079
-1.130 -10.386 -2.789
-3.450 -3.749 -0.598
-4.262 -7.514 -2.529
-3.100 -6.679 0.160
0.000 0.000 0.000
```

Summary:
DFT formation energy = -0.988 eV per atom
calculated volume = 29.9 A^3/atom

=====

[4]
# PaCdSe

A relaxed structure of PaCdSe (PBE-GGA, the Alexandria database).

Cell and atoms, written as POSCAR:
```
PaCdSe
1.0
-1.546 -2.838 -1.500
2.317 1.961 -1.866
10.227 -7.898 4.398
Cd Pa Se
2 2 2
Cartesian
2.979 -1.145 -0.905
9.306 -6.031 1.816
6.143 -3.588 0.455
0.000 0.000 0.000
3.605 -2.784 1.550
6.623 -5.114 2.848
```

Summary:
energy relative to the elements, uncorrected = -0.3956 eV/atom
calculated volume = 25.0 A^3/atom

=====

[5]
# LiFe2Re

A relaxed structure of LiFe2Re (PBE-GGA, the Alexandria database).

Cell and atoms, written as POSCAR:
```
LiFe2Re
1.0
4.194 0.000 0.000
0.000 2.512 -0.103
0.000 0.857 4.739
Fe Re Li
2 1 1
Cartesian
2.097 0.818 1.237
0.000 0.930 4.683
2.097 2.507 3.561
0.000 1.656 2.211
```

Summary:
DFT formation energy = 0.212 eV per atom
calculated volume = 12.6 A^3/atom

=====

[6]
# Th8C4SN3

A relaxed structure of Th8C4SN3 (PBE-GGA, the Alexandria database).

Cell and atoms, written as POSCAR:
```
Th8C4SN3
1.0
-6.412 -2.984 2.749
3.774 -2.549 6.035
0.279 7.356 -1.836
N Th C S
3 8 4 1
Cartesian
2.027 2.404 2.100
-1.319 -2.766 4.392
-1.179 0.912 3.474
-3.836 -2.817 3.490
-1.839 -0.471 5.671
1.344 1.111 4.339
1.477 4.641 3.458
-0.760 -1.386 2.171
-3.702 0.713 2.609
-0.520 2.295 1.277
-1.599 3.210 4.778
-3.066 2.186 0.457
0.140 3.678 -0.918
-3.206 -1.492 1.375
0.000 0.000 0.000
1.887 -1.274 3.018
```

Summary:
energy relative to the elements, uncorrected = -0.9512 eV/atom
calculated volume = 19.2 A^3/atom

=====

[7]
# CuAs2PSe

A relaxed structure of CuAs2PSe (PBE-GGA, the Alexandria database).

Cell and atoms, written as POSCAR:
```
CuAs2PSe
1.0
4.684 0.000 0.000
0.000 4.684 0.000
0.000 0.000 4.937
Cu Se As P
1 1 2 1
Cartesian
2.342 2.342 2.469
0.000 0.000 2.469
2.342 0.000 0.000
0.000 2.342 0.000
0.000 0.000 0.000
```

Summary:
energy relative to the elements, uncorrected = 0.8657 eV/atom
calculated volume = 21.7 A^3/atom

=====

[8]
# CsInF4

A relaxed structure of CsInF4 (PBE-GGA, the Alexandria database).

Cell and atoms, written as POSCAR:
```
CsInF4
1.0
3.374 0.000 0.000
0.000 7.552 0.000
0.000 0.000 7.717
F In Cs
8 2 2
Cartesian
0.000 0.000 3.858
1.687 0.297 1.929
1.687 7.255 5.788
0.000 0.000 0.000
1.687 5.357 3.139
1.687 2.195 4.578
1.687 5.357 0.720
1.687 2.195 6.997
0.000 1.038 5.788
0.000 6.515 1.929
0.000 4.871 5.788
0.000 2.681 1.929
```

Summary:
energy relative to the elements, uncorrected = -2.4293 eV/atom
calculated volume = 16.4 A^3/atom

=====

[9]
# BaCaAg2F8

A relaxed structure of BaCaAg2F8 (PBE-GGA, the Alexandria database).

Cell and atoms, written as POSCAR:
```
BaCaAg2F8
1.0
-2.363 5.218 -1.418
-2.315 -3.192 4.391
4.523 3.361 4.827
F Ba Ag Ca
8 1 2 1
Cartesian
2.438 3.819 3.047
2.092 2.898 7.175
0.215 6.606 3.191
-0.370 -1.219 4.609
-2.593 1.568 4.753
-2.247 2.489 0.625
-0.187 3.884 5.463
0.033 1.503 2.337
0.000 0.000 0.000
-1.003 3.413 1.952
0.849 1.974 5.848
2.262 1.680 2.414
```

Summary:
energy relative to the elements, uncorrected = -2.2813 eV/atom
calculated volume = 18.6 A^3/atom

=====

[10]
# Sm3HgSeCl

A relaxed structure of Sm3HgSeCl (PBE-GGA, the Alexandria database).

Cell and atoms, written as POSCAR:
```
Sm3HgSeCl
1.0
-3.902 -1.389 0.171
1.575 -5.135 -5.749
1.932 -4.165 10.258
Sm Se Hg Cl
6 2 2 2
Cartesian
-1.525 -4.557 3.571
-1.121 -6.631 -4.053
1.130 -6.132 1.110
1.442 -6.453 5.636
-1.838 -4.235 -0.956
0.726 -4.058 8.733
0.350 -4.434 -2.889
-0.745 -6.255 7.570
0.048 -3.072 1.286
-0.444 -7.617 3.394
-0.842 -7.019 -0.837
0.447 -3.669 5.518
```

Summary:
energy relative to the elements, uncorrected = -1.1803 eV/atom
calculated volume = 28.1 A^3/atom

=====

[11]
# YTh2Ag

A relaxed structure of YTh2Ag (PBE-GGA, the Alexandria database).

Cell and atoms, written as POSCAR:
```
YTh2Ag
1.0
3.394 0.000 0.000
1.697 2.939 0.000
1.697 0.980 11.936
Y Th Ag
1 2 1
Cartesian
0.000 0.000 0.000
5.091 2.939 3.353
1.697 0.980 8.583
3.394 1.960 5.968
```

Summary:
DFT formation energy = 0.260 eV per atom
calculated volume = 29.8 A^3/atom

=====

[12]
# Ta2MnInIr

A relaxed structure of Ta2MnInIr (PBE-GGA, the Alexandria database).

Cell and atoms, written as POSCAR:
```
Ta2MnInIr
1.0
-4.748 0.946 0.366
-0.978 -4.648 -0.664
0.224 -0.732 4.795
In Mn Ta Ir
1 1 2 1
Cartesian
-2.751 -2.217 2.249
-0.489 -2.324 -0.332
-2.374 0.473 0.183
0.112 -0.366 2.397
0.000 0.000 0.000
```

Summary:
DFT formation energy = 0.848 eV per atom
calculated volume = 22.6 A^3/atom